Density functional theory data (GGA-PBE) for an optimized crystal structure of Sr4ZnH.

Values from the calculation:
Total energy in eV/atom: -1.9758
Energy above the most stable polymorph in this dataset in eV/atom: 0.0622

Lattice parameters (Å, degrees): 8.248 7.598 10.007 112.31 126.66 90.00
Element x y z (fractional)
1 Sr 0.758 0.529 0.222
2 Sr 0.663 0.076 0.287
3 Sr 0.258 0.692 0.222
4 Sr 0.163 0.210 0.287
5 Sr 0.337 0.924 0.713
6 Sr 0.242 0.471 0.778
7 Sr 0.837 0.790 0.713
8 Sr 0.742 0.308 0.778
9 Zn 0.750 0.769 0.000
10 Zn 0.250 0.231 0.000
11 H 0.500 0.000 0.500
12 H 0.000 0.500 0.500

=====

Density functional theory data (GGA-PBE) for an optimized crystal structure of TbErSiAg.

Values from the calculation:
Total energy in eV/atom: -4.8078

Lattice parameters (Å, degrees): 5.036 5.036 5.036 60.00 60.00 60.00
Element x y z (fractional)
1 Si 0.750 0.750 0.750
2 Tb 0.000 0.000 0.000
3 Ag 0.250 0.250 0.250
4 Er 0.500 0.500 0.500

=====

Density functional theory data (GGA-PBE) for an optimized crystal structure of Al2C.

Values from the calculation:
Total energy in eV/atom: -5.0219
ΔE_f in eV/f.u.: 1.6

Lattice parameters (Å, degrees): 4.514 4.514 4.514 113.04 113.04 102.54
Element x y z (fractional)
1 Al 0.309 0.809 0.118
2 Al 0.691 0.191 0.882
3 Al 0.191 0.309 0.500
4 Al 0.809 0.691 0.500
5 C 0.250 0.250 0.000
6 C 0.750 0.750 0.000

=====

Density functional theory data (GGA-PBE) for an optimized crystal structure of PmPa2Rh.

Values from the calculation:
Total energy in eV/atom: -7.9417
Energy above the most stable polymorph in this dataset in eV/atom: 0.0000
ΔE_f in eV/f.u.: -0.7

Lattice parameters (Å, degrees): 3.582 3.582 7.895 90.00 90.00 90.00
Element x y z (fractional)
1 Pa 0.000 0.000 0.813
2 Pa 0.000 0.000 0.187
3 Rh 0.500 0.500 0.000
4 Pm 0.500 0.500 0.500

=====

Density functional theory data (GGA-PBE) for an optimized crystal structure of LaGdPbAu.

Values from the calculation:
Total energy in eV/atom: -7.1469
ΔE_f in eV/f.u.: -2.6

Lattice parameters (Å, degrees): 5.426 5.426 5.426 60.00 60.00 60.00
Each line ends with the local moment (μB).
Element x y z (fractional)
1 Pb 0.500 0.500 0.500  -0.04
2 Gd 0.750 0.750 0.750  7.21
3 Au 0.000 0.000 0.000  0.04
4 La 0.250 0.250 0.250  0.18

=====

Density functional theory data (GGA-PBE) for an optimized crystal structure of Ho2Ge4Ir3.

Values from the calculation:
Total energy in eV/atom: -6.6664
ΔE_f in eV/f.u.: -5.8

Lattice parameters (Å, degrees): 5.575 5.575 6.764 101.81 101.81 120.24
Element x y z (fractional)
1 Ho 0.630 0.630 0.261
2 Ho 0.370 0.370 0.739
3 Ge 0.006 0.673 0.679
4 Ge 0.673 0.006 0.679
5 Ge 0.994 0.327 0.321
6 Ge 0.327 0.994 0.321
7 Ir 0.500 0.000 0.000
8 Ir 0.000 0.000 0.000
9 Ir 0.000 0.500 0.000

=====

Density functional theory data (GGA-PBE) for an optimized crystal structure of Ba2Ac2Sn15.

Values from the calculation:
Total energy in eV/atom: -4.0946
ΔE_f in eV/f.u.: -5.7

Lattice parameters (Å, degrees): 8.608 8.608 8.608 78.90 78.90 78.90
Element x y z (fractional)
1 Ba 0.356 0.356 0.356
2 Ba 0.644 0.644 0.644
3 Ac 0.109 0.109 0.109
4 Ac 0.891 0.891 0.891
5 Sn 0.000 0.000 0.500
6 Sn 0.500 0.000 0.000
7 Sn 0.000 0.500 0.000
8 Sn 0.292 0.708 0.000
9 Sn 0.000 0.292 0.708
10 Sn 0.708 0.000 0.292
11 Sn 0.000 0.708 0.292
12 Sn 0.292 0.000 0.708
13 Sn 0.708 0.292 0.000
14 Sn 0.632 0.632 0.140
15 Sn 0.140 0.632 0.632
16 Sn 0.632 0.140 0.632
17 Sn 0.368 0.368 0.860
18 Sn 0.860 0.368 0.368
19 Sn 0.368 0.860 0.368

=====

Density functional theory data (GGA-PBE) for an optimized crystal structure of KLaVS4.

Values from the calculation:
Total energy in eV/atom: -5.9553

Lattice parameters (Å, degrees): 6.797 6.561 8.857 90.00 107.18 90.00
Each line ends with the local moment (μB).
Element x y z (fractional)
1 K 0.721 0.750 0.933  0.00
2 K 0.279 0.250 0.067  0.00
3 La 0.767 0.750 0.448  0.04
4 La 0.233 0.250 0.552  0.04
5 V 0.220 0.750 0.316  0.90
6 V 0.780 0.250 0.684  0.90
7 S 0.001 0.505 0.720  -0.02
8 S 0.999 0.005 0.280  -0.02
9 S 0.999 0.495 0.280  -0.02
10 S 0.001 0.995 0.720  -0.02
11 S 0.418 0.750 0.161  -0.02
12 S 0.582 0.250 0.839  -0.02
13 S 0.403 0.750 0.567  -0.01
14 S 0.597 0.250 0.433  -0.01

=====

Density functional theory data (GGA-PBE) for an optimized crystal structure of GaSe2Br.

Values from the calculation:
Total energy in eV/atom: -2.5003
Energy above the most stable polymorph in this dataset in eV/atom: 0.6702

Lattice parameters (Å, degrees): 4.952 4.952 4.952 60.00 60.00 60.00
Element x y z (fractional)
1 Ga 0.000 0.000 0.000
2 Se 0.250 0.250 0.250
3 Se 0.750 0.750 0.750
4 Br 0.500 0.500 0.500

=====

Density functional theory data (GGA-PBE) for an optimized crystal structure of GdEr3.

Values from the calculation:
Total energy in eV/atom: -6.9214
Energy above the most stable polymorph in this dataset in eV/atom: 0.0204
ΔE_f in eV/f.u.: 0.1

Lattice parameters (Å, degrees): 4.986 4.986 6.100 114.12 114.12 90.00
Each line ends with the local moment (μB).
Element x y z (fractional)
1 Gd 0.000 0.000 0.000  7.17
2 Er 0.750 0.250 0.500  -0.02
3 Er 0.250 0.750 0.500  -0.02
4 Er 0.500 0.500 0.000  -0.06

=====

Density functional theory data (GGA-PBE) for an optimized crystal structure of EuHoMg2.

Values from the calculation:
Total energy in eV/atom: -4.5758
ΔE_f in eV/f.u.: -0.3

Lattice parameters (Å, degrees): 3.872 3.872 7.854 90.00 90.00 90.00
Each line ends with the local moment (μB).
Element x y z (fractional)
1 Eu 0.500 0.500 0.500  6.91
2 Mg 0.000 0.000 0.772  0.00
3 Mg 0.000 0.000 0.228  0.00
4 Ho 0.500 0.500 0.000  -0.06

=====

Density functional theory data (GGA-PBE) for an optimized crystal structure of NaLa2Br6.

Values from the calculation:
Total energy in eV/atom: -4.0912
Energy above the most stable polymorph in this dataset in eV/atom: 0.0480

Lattice parameters (Å, degrees): 5.286 7.650 8.385 83.75 71.62 69.79
Each line ends with the local moment (μB).
Element x y z (fractional)
1 Na 0.000 0.500 0.500  0.00
2 La 0.337 0.500 0.826  0.27
3 La 0.663 0.500 0.174  0.27
4 Br 0.948 0.260 0.844  -0.01
5 Br 0.292 0.260 0.156  -0.01
6 Br 0.708 0.740 0.844  -0.01
7 Br 0.379 0.742 0.500  0.00
8 Br 0.621 0.258 0.500  0.00
9 Br 0.052 0.740 0.156  -0.01